<1>
Entry from the Alexandria database: CrNi6Pt after structural relaxation (PBE).

a b c (Å): 6.234 6.234 10.219
angles (deg): 90.00 90.00 109.65
Sites, in units of the cell vectors:
1 Cr 0.252 0.748 0.750
2 Cr 0.748 0.252 0.750
3 Cr 0.500 0.500 0.502
4 Cr 0.500 0.500 0.998
5 Ni 0.254 0.746 0.508
6 Ni 0.873 0.619 0.629
7 Ni 0.127 0.381 0.629
8 Ni 0.746 0.254 0.508
9 Ni 0.381 0.127 0.629
10 Ni 0.619 0.873 0.629
11 Ni 0.500 0.500 0.250
12 Ni 0.131 0.378 0.379
13 Ni 0.378 0.131 0.379
14 Ni 0.254 0.746 0.992
15 Ni 0.869 0.622 0.121
16 Ni 0.131 0.378 0.121
17 Ni 0.746 0.254 0.992
18 Ni 0.378 0.131 0.121
19 Ni 0.622 0.869 0.121
20 Ni 0.500 0.500 0.750
21 Ni 0.127 0.381 0.871
22 Ni 0.381 0.127 0.871
23 Ni 0.000 0.000 0.250
24 Ni 0.622 0.869 0.379
25 Ni 0.869 0.622 0.379
26 Ni 0.000 0.000 0.750
27 Ni 0.619 0.873 0.871
28 Ni 0.873 0.619 0.871
29 Pt 0.250 0.750 0.250
30 Pt 0.750 0.250 0.250
31 Pt 0.000 0.000 0.501
32 Pt 0.000 0.000 0.999

Summary:
The calculation puts the total magnetization at 0.42 μB/f.u. The value obtained for the density is 10.64 Mg/m³. The volume comes out at 11.69 Å³ per atom.



<2>
Entry from the Alexandria database: CrNi6Pt after structural relaxation (PBE).

a b c (Å): 4.395 4.395 5.706
angles (deg): 74.72 74.72 108.40
Sites, in units of the cell vectors:
1 Cr 0.500 0.500 0.000
2 Ni 0.746 0.746 0.509
3 Ni 0.628 0.128 0.743
4 Ni 0.128 0.628 0.743
5 Ni 0.372 0.872 0.257
6 Ni 0.254 0.254 0.491
7 Ni 0.872 0.372 0.257
8 Pt 0.000 0.000 0.000

Summary:
The calculation puts the total magnetization at 0.33 μB/f.u. The value obtained for the density is 10.66 Mg/m³. The volume comes out at 11.67 Å³ per atom.



It is <2> that is most stable; the runner-up trails by 0.9 kJ/mol of atoms.



<1>
Entry from the Alexandria database: CrNiPt4 after structural relaxation (PBE).

a b c (Å): 2.742 7.394 8.757
angles (deg): 90.00 90.00 90.00
Sites, in units of the cell vectors:
1 Cr 0.000 0.185 0.250
2 Cr 0.000 0.815 0.750
3 Ni 0.000 0.530 0.250
4 Ni 0.000 0.470 0.750
5 Pt 0.500 0.328 0.031
6 Pt 0.500 0.328 0.469
7 Pt 0.500 0.672 0.969
8 Pt 0.500 0.672 0.531
9 Pt 0.500 0.856 0.250
10 Pt 0.500 0.144 0.750
11 Pt 0.000 0.000 0.000
12 Pt 0.000 0.000 0.500

Summary:
The calculation puts the total magnetization at 2.12 μB/f.u. The value obtained for the density is 16.67 Mg/m³. The volume comes out at 14.79 Å³ per atom.



<2>
Entry from the Alexandria database: CrNiPt4 after structural relaxation (PBE).

a b c (Å): 5.212 5.212 5.212
angles (deg): 60.00 60.00 60.00
Sites, in units of the cell vectors:
1 Cr 0.750 0.750 0.750
2 Ni 0.000 0.000 0.000
3 Pt 0.875 0.375 0.375
4 Pt 0.375 0.375 0.875
5 Pt 0.375 0.875 0.375
6 Pt 0.375 0.375 0.375

Summary:
The calculation puts the total magnetization at 3.47 μB/f.u. The value obtained for the density is 14.78 Mg/m³. The volume comes out at 16.69 Å³ per atom.



<3>
Entry from the Alexandria database: CrNiPt4 after structural relaxation (PBE).

a b c (Å): 2.761 4.488 7.840
angles (deg): 82.66 79.86 72.09
Sites, in units of the cell vectors:
1 Cr 0.500 0.500 0.500
2 Ni 0.000 0.000 0.000
3 Pt 0.655 0.536 0.155
4 Pt 0.345 0.464 0.845
5 Pt 0.152 0.043 0.654
6 Pt 0.848 0.957 0.346

Summary:
The calculation puts the total magnetization at 3.01 μB/f.u. The value obtained for the density is 16.31 Mg/m³. The volume comes out at 15.12 Å³ per atom.



It is <1> that is most stable; the runner-up trails by 1.2 kJ/mol of atoms.



<1>
Entry from the Alexandria database: CrNi6Pt8 after structural relaxation (PBE).

a b c (Å): 5.053 7.189 7.189
angles (deg): 120.00 90.00 90.00
Sites, in units of the cell vectors:
1 Cr 0.500 0.000 0.000
2 Ni 0.654 0.660 0.038
3 Ni 0.654 0.962 0.622
4 Ni 0.654 0.378 0.340
5 Ni 0.346 0.340 0.962
6 Ni 0.346 0.038 0.378
7 Ni 0.346 0.622 0.660
8 Pt 0.844 0.022 0.310
9 Pt 0.844 0.690 0.712
10 Pt 0.844 0.288 0.978
11 Pt 0.156 0.978 0.690
12 Pt 0.156 0.310 0.288
13 Pt 0.156 0.712 0.022
14 Pt 0.622 0.333 0.667
15 Pt 0.378 0.667 0.333

Summary:
The calculation puts the total magnetization at 7.80 μB/f.u. The value obtained for the density is 14.43 Mg/m³. The volume comes out at 15.08 Å³ per atom.



<2>
Entry from the Alexandria database: CrNi6Pt8 after structural relaxation (PBE).

a b c (Å): 2.750 9.504 9.504
angles (deg): 120.00 90.00 90.00
Sites, in units of the cell vectors:
1 Cr 0.500 0.000 0.000
2 Ni 0.746 0.522 0.612
3 Ni 0.746 0.388 0.910
4 Ni 0.746 0.090 0.478
5 Ni 0.254 0.478 0.388
6 Ni 0.254 0.612 0.090
7 Ni 0.254 0.910 0.522
8 Pt 0.762 0.702 0.918
9 Pt 0.762 0.082 0.785
10 Pt 0.762 0.215 0.298
11 Pt 0.238 0.298 0.082
12 Pt 0.238 0.918 0.215
13 Pt 0.238 0.785 0.702
14 Pt 0.754 0.667 0.333
15 Pt 0.246 0.333 0.667

Summary:
The calculation puts the total magnetization at 9.91 μB/f.u. The value obtained for the density is 15.16 Mg/m³. The volume comes out at 14.34 Å³ per atom.



It is <2> that is most stable; the runner-up trails by 2.4 kJ/mol of atoms.